The following is a PBE calculation of a relaxed AlTe3Cl crystal, from Alexandria via LeMat-Bulk.

Structure (CIF):
```
data_AlTe3Cl
_chemical_formula_sum 'Al1 Te3 Cl1'
_space_group_name_H-M_alt 'P m -3 m'
_space_group_IT_number 221
_space_group_name_Hall '-P 4 2 3'
_cell_length_a 5.3119
_cell_length_b 5.3119
_cell_length_c 5.3119
_cell_angle_alpha 90.00
_cell_angle_beta 90.00
_cell_angle_gamma 90.00
loop_
_atom_site_label
_atom_site_type_symbol
_atom_site_fract_x
_atom_site_fract_y
_atom_site_fract_z
_atom_site_occupancy
Al1 Al 0.0000 0.0000 0.0000 1
Te1 Te 0.0000 0.0000 0.5000 1
Cl1 Cl 0.5000 0.5000 0.5000 1
```

Results
Energy relative to the elements, uncorrected (eV/atom): 0.23
Total moment (μB per formula unit): 0.0
Crystal system: cubic
Polymorph energy (0 for the lowest one) (eV per atom): 0.000